No. 1
Below is a relaxed DyTm3Pd4 crystal, with properties calculated at the PBE-GGA level.

Cell lengths 4.9491, 6.8289, 9.9036 Å; angles 90.00, 90.00, 90.00 degrees
Positions (direct):
Tm (0.0000, 0.0000, 0.0000)
Tm (0.0000, 0.0000, 0.5000)
Tm (0.5004, 0.0000, 0.7500)
Tm (0.4996, 0.0000, 0.2500)
Tm (0.5003, 0.5000, 0.7500)
Tm (0.4997, 0.5000, 0.2500)
Pd (0.5000, 0.7532, 0.0000)
Pd (0.5000, 0.7532, 0.5000)
Pd (0.5000, 0.2468, 0.0000)
Pd (0.5000, 0.2468, 0.5000)
Pd (0.0007, 0.7529, 0.7500)
Pd (0.9993, 0.7529, 0.2500)
Pd (0.9993, 0.2471, 0.2500)
Pd (0.0007, 0.2471, 0.7500)
Dy (0.0000, 0.5000, 0.0000)
Dy (0.0000, 0.5000, 0.5000)

The value obtained for the calculated formation energy is -929 meV/atom. Its calculated total energy is -92.440 eV for the cell shown.

No. 2
Below is a relaxed Zr2InC crystal, with properties calculated at the PBE-GGA level.

Cell lengths 4.6937, 4.6937, 4.6937 Å; angles 60.00, 60.00, 60.00 degrees
Positions (direct):
C (0.0000, 0.0000, 0.0000)
Zr (0.2500, 0.2500, 0.2500)
Zr (0.7500, 0.7500, 0.7500)
In (0.5000, 0.5000, 0.5000)

The value obtained for the calculated formation energy is 809 meV/atom. Its calculated total energy is -25.821 eV for the cell shown. The value obtained for the energy above the most stable polymorph in this dataset is 1.507 eV per atom.

No. 3
Below is a relaxed TcTeS3 crystal, with properties calculated at the PBE-GGA level.

Cell lengths 4.6466, 4.6466, 4.6466 Å; angles 90.00, 90.00, 90.00 degrees
Positions (direct):
S (0.0000, 0.5000, 0.0000)
S (0.0000, 0.0000, 0.5000)
S (0.5000, 0.0000, 0.0000)
Te (0.5000, 0.5000, 0.5000)
Tc (0.0000, 0.0000, 0.0000)

The value obtained for the uncorrected formation energy is 0.265 eV per atom. Its calculated total energy is -24.565 eV for the cell shown. The value obtained for the energy above the most stable polymorph in this dataset is 0.000 eV per atom.

No. 4
Below is a relaxed GaBi2W crystal, with properties calculated at the PBE-GGA level.

Cell lengths 6.4998, 6.4998, 8.0005 Å; angles 66.03, 66.03, 90.00 degrees
Last column: magnetic moment on the atom in μB.
Positions (direct):
Ga (0.5000, 0.5000, 0.0000)  -0.01
Ga (0.2500, 0.7500, 0.5000)  -0.01
Bi (0.6498, 0.1250, 0.2500)  -0.06
Bi (0.1002, 0.6250, 0.2500)  -0.06
Bi (0.3750, 0.3502, 0.7500)  -0.07
Bi (0.8750, 0.8998, 0.7500)  -0.07
W (0.0000, 0.0000, 0.0000)  1.20
W (0.7500, 0.2500, 0.5000)  1.20

The value obtained for the calculated formation energy is 1021 meV/atom. Its calculated total energy is -39.312 eV for the cell shown.

No. 5
Below is a relaxed Fe2Mo2W crystal, with properties calculated at the PBE-GGA level.

Cell lengths 7.0157, 7.0157, 2.8115 Å; angles 90.00, 90.00, 90.00 degrees
Positions (direct):
Mo (0.1689, 0.6689, 0.5000)
Mo (0.6689, 0.8311, 0.5000)
Mo (0.8311, 0.3311, 0.5000)
Mo (0.3311, 0.1689, 0.5000)
Fe (0.3711, 0.8711, 0.0000)
Fe (0.8711, 0.6289, 0.0000)
Fe (0.6289, 0.1289, 0.0000)
Fe (0.1289, 0.3711, 0.0000)
W (0.0000, 0.0000, 0.0000)
W (0.5000, 0.5000, 0.0000)

The value obtained for the calculated formation energy is 214 meV/atom. Its calculated total energy is -100.937 eV for the cell shown.

No. 6
Below is a relaxed As2WBr crystal, with properties calculated at the PBE-GGA level.

Cell lengths 3.1628, 3.2828, 8.0941 Å; angles 89.73, 90.00, 90.00 degrees
Positions (direct):
As (0.0000, 0.2480, 0.9255)
As (0.0000, 0.2520, 0.5745)
Br (0.5000, 0.2500, 0.2500)
W (0.5000, 0.7500, 0.7500)

The value obtained for the uncorrected formation energy is 0.193 eV per atom. Its calculated total energy is -23.154 eV for the cell shown. The value obtained for the energy above the most stable polymorph in this dataset is 0.109 eV per atom.

No. 7
Below is a relaxed CaTcHF2 crystal, with properties calculated at the PBE-GGA level.

Cell lengths 4.5069, 3.4767, 4.5069 Å; angles 90.00, 90.00, 90.00 degrees
Last column: magnetic moment on the atom in μB.
Positions (direct):
H (0.0000, 0.0000, 0.0000)  -0.01
Ca (0.5000, 0.5000, 0.5000)  0.02
Tc (0.0000, 0.5000, 0.0000)  3.12
F (0.0000, 0.0000, 0.5000)  0.13
F (0.5000, 0.0000, 0.0000)  0.11

Its calculated total energy is -23.285 eV for the cell shown.

No. 8
Below is a relaxed PaTaSi crystal, with properties calculated at the PBE-GGA level.

Cell lengths 4.3460, 4.3460, 7.9069 Å; angles 74.05, 74.05, 60.00 degrees
Positions (direct):
Si (0.5983, 0.5983, 0.2052)
Si (0.4017, 0.4017, 0.7948)
Ta (0.2866, 0.2866, 0.1401)
Ta (0.7134, 0.7134, 0.8599)
Pa (0.8636, 0.8636, 0.4093)
Pa (0.1364, 0.1364, 0.5907)

The value obtained for the uncorrected formation energy is -0.018 eV per atom. Its calculated total energy is -53.648 eV for the cell shown. The value obtained for the energy above the most stable polymorph in this dataset is 0.372 eV per atom.

No. 9
Below is a relaxed LaCr2Pd crystal, with properties calculated at the PBE-GGA level.

Cell lengths 4.1818, 4.1818, 10.1729 Å; angles 78.14, 78.14, 90.00 degrees
Last column: magnetic moment on the atom in μB.
Positions (direct):
Cr (0.3750, 0.1250, 0.2500)  0.31
Cr (0.3750, 0.6250, 0.2500)  0.33
Cr (0.3750, 0.6250, 0.7500)  0.42
Cr (0.8750, 0.6250, 0.7500)  0.44
Pd (0.5000, 0.5000, 0.0000)  0.03
Pd (0.2500, 0.7500, 0.5000)  0.03
La (0.0000, 0.0000, 0.0000)  0.01
La (0.7500, 0.2500, 0.5000)  0.01

The value obtained for the calculated formation energy is 540 meV/atom. Its calculated total energy is -54.412 eV for the cell shown. The value obtained for the energy above the most stable polymorph in this dataset is 0.000 eV per atom.

No. 10
Below is a relaxed Ce5SmRu4 crystal, with properties calculated at the PBE-GGA level.

Cell lengths 6.7924, 7.9747, 9.6176 Å; angles 90.00, 90.00, 90.00 degrees
Last column: magnetic moment on the atom in μB.
Positions (direct):
Ce (0.2781, 0.7668, 0.8109)  0.23
Ce (0.2781, 0.2332, 0.8109)  0.23
Ce (0.8923, 0.5000, 0.0000)  0.13
Ce (0.2781, 0.7668, 0.1891)  0.23
Ce (0.2781, 0.2332, 0.1891)  0.23
Ce (0.7219, 0.7332, 0.3109)  0.23
Ce (0.7219, 0.2668, 0.3109)  0.23
Ce (0.1077, 0.0000, 0.5000)  0.13
Ce (0.7219, 0.2668, 0.6891)  0.23
Ce (0.7219, 0.7332, 0.6891)  0.23
Sm (0.7595, 0.0000, 0.0000)  0.01
Sm (0.2405, 0.5000, 0.5000)  0.01
Ru (0.0157, 0.0000, 0.7502)  -0.03
Ru (0.5042, 0.6775, 0.0000)  -0.04
Ru (0.5042, 0.3225, 0.0000)  -0.04
Ru (0.0157, 0.0000, 0.2498)  -0.03
Ru (0.9843, 0.5000, 0.2502)  -0.03
Ru (0.4958, 0.8225, 0.5000)  -0.04
Ru (0.4958, 0.1775, 0.5000)  -0.04
Ru (0.9843, 0.5000, 0.7498)  -0.03

The value obtained for the calculated formation energy is -166 meV/atom. Its calculated total energy is -146.309 eV for the cell shown.

No. 11
Below is a relaxed BaFe2Tc crystal, with properties calculated at the PBE-GGA level.

Cell lengths 3.8288, 3.6340, 6.4248 Å; angles 78.65, 90.00, 90.00 degrees
Last column: magnetic moment on the atom in μB.
Positions (direct):
Ba (0.5000, 0.7373, 0.7881)  -0.02
Fe (0.0000, 0.1225, 0.1001)  0.88
Fe (0.5000, 0.0881, 0.2984)  1.95
Tc (0.0000, 0.5522, 0.3133)  -0.43

The value obtained for the calculated formation energy is 767 meV/atom. Its calculated total energy is -26.148 eV for the cell shown. The value obtained for the energy above the most stable polymorph in this dataset is 0.310 eV per atom.

No. 12
Below is a relaxed Ac8Dy3Er2 crystal, with properties calculated at the PBE-GGA level.

Cell lengths 6.5829, 8.5106, 10.1454 Å; angles 64.91, 83.97, 82.63 degrees
Positions (direct):
Ac (0.2335, 0.5362, 0.0809)
Ac (0.7665, 0.4638, 0.9191)
Ac (0.1579, 0.6941, 0.3873)
Ac (0.8421, 0.3059, 0.6127)
Ac (0.0819, 0.8489, 0.6946)
Ac (0.3103, 0.3702, 0.7733)
Ac (0.6897, 0.6298, 0.2267)
Ac (0.9181, 0.1511, 0.3054)
Dy (0.0000, 0.0000, 0.0000)
Dy (0.4609, 0.0732, 0.1549)
Dy (0.5391, 0.9268, 0.8451)
Er (0.6129, 0.7800, 0.5388)
Er (0.3871, 0.2200, 0.4612)

The value obtained for the calculated formation energy is 65 meV/atom. Its calculated total energy is -54.951 eV for the cell shown.

No. 13
Below is a relaxed BeCoHg2 crystal, with properties calculated at the PBE-GGA level.

Cell lengths 4.5035, 4.5035, 4.5035 Å; angles 60.00, 60.00, 60.00 degrees
Last column: magnetic moment on the atom in μB.
Positions (direct):
Be (0.5000, 0.5000, 0.5000)  -0.02
Co (0.7500, 0.7500, 0.7500)  1.32
Hg (0.0000, 0.0000, 0.0000)  -0.01
Hg (0.2500, 0.2500, 0.2500)  0.01

The value obtained for the calculated formation energy is 640 meV/atom. Its calculated total energy is -8.876 eV for the cell shown.

No. 14
Below is a relaxed HgRhPb2 crystal, with properties calculated at the PBE-GGA level.

Cell lengths 5.1160, 5.1160, 3.5818 Å; angles 90.00, 90.00, 90.00 degrees
Positions (direct):
Hg (0.0000, 0.0000, 0.5000)
Rh (0.5000, 0.5000, 0.5000)
Pb (0.0000, 0.5000, 0.0000)
Pb (0.5000, 0.0000, 0.0000)

The value obtained for the calculated formation energy is 208 meV/atom. Its calculated total energy is -14.239 eV for the cell shown.

No. 15
Below is a relaxed PrAl2SiTc2 crystal, with properties calculated at the PBE-GGA level.

Cell lengths 4.5202, 4.5202, 5.7330 Å; angles 90.00, 90.00, 90.00 degrees
Positions (direct):
Pr (0.0000, 0.0000, 0.5000)
Al (0.5000, 0.5000, 0.7484)
Al (0.5000, 0.5000, 0.2516)
Si (0.0000, 0.0000, 0.0000)
Tc (0.5000, 0.0000, 0.0000)
Tc (0.0000, 0.5000, 0.0000)

The value obtained for the uncorrected formation energy is -0.336 eV per atom. Its calculated total energy is -40.435 eV for the cell shown.

No. 16
Below is a relaxed VInSn3 crystal, with properties calculated at the PBE-GGA level.

Cell lengths 5.5419, 5.5419, 5.5419 Å; angles 90.00, 90.00, 90.00 degrees
Last column: magnetic moment on the atom in μB.
Positions (direct):
In (0.0000, 0.0000, 0.0000)  0.01
Sn (0.0000, 0.5000, 0.0000)  -0.02
Sn (0.0000, 0.0000, 0.5000)  -0.02
Sn (0.5000, 0.0000, 0.0000)  -0.02
V (0.5000, 0.5000, 0.5000)  3.08

The value obtained for the calculated formation energy is 1109 meV/atom. Its calculated total energy is -18.320 eV for the cell shown. The value obtained for the energy above the most stable polymorph in this dataset is 0.933 eV per atom.

No. 17
Below is a relaxed NaEr2Tl3 crystal, with properties calculated at the PBE-GGA level.

Cell lengths 3.7696, 3.7696, 11.5215 Å; angles 90.00, 90.00, 90.00 degrees
Positions (direct):
Na (0.5000, 0.5000, 0.5000)
Er (0.5000, 0.5000, 0.8333)
Er (0.5000, 0.5000, 0.1667)
Tl (0.0000, 0.0000, 0.0000)
Tl (0.0000, 0.0000, 0.6754)
Tl (0.0000, 0.0000, 0.3246)

The value obtained for the calculated formation energy is -237 meV/atom. Its calculated total energy is -18.967 eV for the cell shown.

No. 18
Below is a relaxed NdYCdAg crystal, with properties calculated at the PBE-GGA level.

Cell lengths 3.7314, 3.7314, 7.5840 Å; angles 90.00, 90.00, 90.00 degrees
Last column: magnetic moment on the atom in μB.
Positions (direct):
Nd (0.5000, 0.5000, 0.1127)  0.09
Y (0.5000, 0.5000, 0.5974)  0.00
Cd (0.0000, 0.0000, 0.8440)  0.00
Ag (0.0000, 0.0000, 0.3738)  0.00

The value obtained for the calculated formation energy is -307 meV/atom. Its calculated total energy is -16.227 eV for the cell shown. The value obtained for the energy above the most stable polymorph in this dataset is 0.000 eV per atom.

No. 19
Below is a relaxed LaMn2W crystal, with properties calculated at the PBE-GGA level.

Cell lengths 3.1273, 3.1214, 8.0865 Å; angles 67.32, 90.00, 90.00 degrees
Last column: magnetic moment on the atom in μB.
Positions (direct):
La (0.5000, 0.7500, 0.7500)  -0.23
Mn (0.0000, 0.9316, 0.0682)  2.39
Mn (0.0000, 0.5684, 0.4318)  2.39
W (0.5000, 0.2500, 0.2500)  -0.75

The value obtained for the calculated formation energy is 290 meV/atom. Its calculated total energy is -35.058 eV for the cell shown. The value obtained for the energy above the most stable polymorph in this dataset is 0.000 eV per atom.

No. 20
Below is a relaxed LuMnH crystal, with properties calculated at the PBE-GGA level.

Cell lengths 3.6370, 3.6370, 7.7136 Å; angles 76.36, 76.36, 60.00 degrees
Positions (direct):
H (0.3039, 0.3039, 0.0884)
H (0.6961, 0.6961, 0.9116)
Lu (0.5978, 0.5978, 0.2067)
Lu (0.4022, 0.4022, 0.7933)
Mn (0.8371, 0.8371, 0.4887)
Mn (0.1629, 0.1629, 0.5113)

Its calculated total energy is -35.775 eV for the cell shown.